No. 1
Compound: LaMnCl2
Source: Alexandria
Functional: PBE-GGA
Structure: optimized geometry

## Properties
energy relative to the lowest polymorph listed for this composition: 152 meV/atom
total moment: 4.90 μB per formula unit
DOS(E_F): 0.571 states/eV/atom

a = 3.4945 Å, b = 3.4945 Å, c = 10.1854 Å
α = 90.00°, β = 90.00°, γ = 90.00°
Closest atoms and distances in Å follow each position.
Element x y z (fractional)
La (0.0000, 0.0000, 0.0000)  8 Cl 2.98
Mn (0.0000, 0.0000, 0.5000)  4 Mn 3.49
Cl (0.5000, 0.5000, 0.1631)  4 La 2.98, 1 Cl 3.32
Cl (0.5000, 0.5000, 0.8369)  4 La 2.98, 1 Cl 3.32

=====

No. 2
Compound: LaMnCl
Source: Alexandria
Functional: PBE-GGA
Structure: optimized geometry

## Properties
energy: -5.50 eV/atom
total moment: 3.28 μB per formula unit
DOS(E_F): 0.926 states/eV/atom

a = 4.7787 Å, b = 4.7787 Å, c = 4.7787 Å
α = 60.00°, β = 60.00°, γ = 60.00°
Closest atoms and distances in Å follow each position.
Element x y z (fractional)
La (0.0000, 0.0000, 0.0000)  4 Cl 2.93
Mn (0.5000, 0.5000, 0.5000)  4 Cl 2.93
Cl (0.7500, 0.7500, 0.7500)  4 Mn 2.93, 4 La 2.93

=====

No. 3
Compound: LaMn2Cl
Source: Alexandria
Functional: PBE-GGA
Structure: optimized geometry

## Properties
energy relative to the lowest polymorph listed for this composition: 398 meV/atom
total moment: 0.05 μB per formula unit
DOS(E_F): 1.759 states/eV/atom

a = 5.0023 Å, b = 5.0023 Å, c = 5.0023 Å
α = 60.00°, β = 60.00°, γ = 60.00°
Closest atoms and distances in Å follow each position.
Element x y z (fractional)
La (0.0000, 0.0000, 0.0000)  4 Cl 3.06, 4 Mn 3.06
Mn (0.2500, 0.2500, 0.2500)  4 La 3.06, 4 Mn 3.06
Mn (0.5000, 0.5000, 0.5000)  4 Mn 3.06, 4 Cl 3.06
Cl (0.7500, 0.7500, 0.7500)  4 Mn 3.06, 4 La 3.06

=====

No. 4
Compound: LaMnCl4
Source: Alexandria
Functional: PBE-GGA
Structure: optimized geometry

## Properties
energy: -3.84 eV/atom
total moment: 6.04 μB per formula unit
DOS(E_F): 1.274 states/eV/atom

a = 5.9197 Å, b = 5.9197 Å, c = 5.9197 Å
α = 60.00°, β = 60.00°, γ = 60.00°
Closest atoms and distances in Å follow each position.
Element x y z (fractional)
La (0.0000, 0.0000, 0.0000)  12 Cl 3.47, 4 Mn 3.63
Mn (0.2500, 0.2500, 0.2500)  12 Cl 3.47, 4 La 3.63
Cl (0.1250, 0.6250, 0.6250)  6 Cl 2.96
Cl (0.6250, 0.1250, 0.6250)  6 Cl 2.96
Cl (0.6250, 0.6250, 0.1250)  6 Cl 2.96
Cl (0.6250, 0.6250, 0.6250)  6 Cl 2.96

=====

No. 5
Compound: LaMnCl2
Source: Alexandria
Functional: PBE-GGA
Structure: optimized geometry

## Properties
energy relative to the lowest polymorph listed for this composition: 81 meV/atom
total moment: 4.06 μB per formula unit
DOS(E_F): 0.287 states/eV/atom

a = 5.4888 Å, b = 5.4888 Å, c = 6.9639 Å
α = 103.49°, β = 103.49°, γ = 39.93°
Closest atoms and distances in Å follow each position.
Element x y z (fractional)
La (0.0000, 0.0000, 0.0000)  5 Cl 2.90-2.98, 2 Mn 3.23
Mn (0.6125, 0.6125, 0.3833)  1 Cl 2.53
Cl (0.2938, 0.2938, 0.0382)  3 La 2.90-2.98
Cl (0.5160, 0.5160, 0.6835)  1 Mn 2.53

=====

No. 6
Compound: La2MnCl
Source: Alexandria
Functional: PBE-GGA
Structure: optimized geometry

## Properties
energy relative to the lowest polymorph listed for this composition: 147 meV/atom
total moment: 2.79 μB per formula unit
DOS(E_F): 1.266 states/eV/atom

a = 5.5019 Å, b = 5.5019 Å, c = 3.3947 Å
α = 95.62°, β = 95.62°, γ = 90.92°
Closest atoms and distances in Å follow each position.
Element x y z (fractional)
La (0.0000, 0.5000, 0.0000)  4 Mn 3.09-3.37, 4 Cl 3.09-3.37, 2 La 3.39
La (0.5000, 0.0000, 0.0000)  4 Mn 3.09-3.37, 4 Cl 3.09-3.37, 2 La 3.39
Mn (0.0000, 0.0000, 0.5000)  8 La 3.09-3.37, 2 Mn 3.39
Cl (0.5000, 0.5000, 0.5000)  8 La 3.09-3.37, 2 Cl 3.39